A relaxed structure of La2Sm5Ho2, computed with PBE.

```
La2Sm5Ho2
1.0
12.0183 0.0000 0.0000
0.0000 6.8414 0.0000
-6.0092 -3.4207 7.5233
La Sm Ho
4 10 4
Cartesian
0.0399 3.8448 1.8984
5.9692 0.4241 5.6249
5.9692 0.4241 1.8984
0.0399 3.8448 5.6250
-2.9910 1.4138 6.7255
9.0002 4.8345 0.7979
-3.0182 -2.0069 6.7255
9.0273 1.4138 0.7978
2.8084 -0.8217 2.1561
3.2008 2.5990 5.3672
3.2008 2.5990 2.1561
2.8084 -0.8217 5.3672
-2.8866 2.8175 3.7617
8.8957 -0.6032 3.7617
0.0000 0.1905 0.0000
6.0092 3.6112 0.0000
0.0963 0.6791 3.7617
5.9128 4.0998 3.7617
```

## Properties
* energy relative to the elements: 4.52 kcal/mol of atoms
* total moment: 0.00 μB/cell
* V: 618.6 Å³ per cell
* energy relative to the lowest polymorph listed for this composition: 129.3 meV/atom
* symmetry: No. 46
* electronic total energy: -81.7 eV for the cell shown
* D(E_F): 28.2 states/eV per cell
* mass density: 7.30 g cm⁻³



A relaxed structure of La6Sm5Ho, computed with PBE.

```
La6Sm5Ho
1.0
-3.9216 -4.2878 -1.7159
-6.1086 -5.2106 5.5693
-9.4988 3.7413 1.6540
La Sm Ho
6 5 1
Cartesian
-6.5763 -2.4368 -0.2924
-7.6804 -2.8994 3.4044
-2.4953 -2.3691 0.9246
-7.5349 -7.1293 2.9289
-11.8486 -2.8577 2.1032
-12.9528 -3.3203 5.7999
-9.2855 -0.5436 1.1775
-5.2119 -0.4805 2.4061
-5.0151 -4.7492 1.9267
-10.3954 -0.9889 4.8172
-10.2435 -5.2135 4.3300
0.0000 0.0000 0.0000
```

## Properties
* energy relative to the elements: 2.08 kcal/mol of atoms
* total moment: 0.00 μB/cell
* V: 423.2 Å³ per cell
* energy relative to the lowest polymorph listed for this composition: 70.8 meV/atom
* symmetry: No. 71
* electronic total energy: -56.7 eV for the cell shown
* D(E_F): 22.8 states/eV per cell
* mass density: 6.87 g cm⁻³



A relaxed structure of La2SmHo2, computed with PBE.

```
La2SmHo2
1.0
9.1194 0.5141 0.4717
-1.3914 9.0273 0.4717
-2.9531 -3.6460 3.9781
La Sm Ho
4 2 4
Cartesian
4.6334 4.0466 2.6133
3.2556 2.3454 0.3191
1.5193 3.5499 4.6023
0.1415 1.8487 2.3081
-1.4571 7.5710 1.4662
6.2320 -1.6757 3.4552
1.2873 5.3481 1.4662
6.3297 1.2641 1.4662
-1.5549 4.6312 3.4552
3.4875 0.5472 3.4552
```

## Properties
* energy relative to the elements: 6.62 kcal/mol of atoms
* total moment: 0.00 μB/cell
* V: 360.3 Å³ per cell
* energy relative to the lowest polymorph listed for this composition: 0.0 meV/atom
* symmetry: No. 15
* electronic total energy: -44.6 eV for the cell shown
* D(E_F): 14.1 states/eV per cell
* mass density: 6.99 g cm⁻³



A relaxed structure of LaSmHo3, computed with PBE.

```
LaSmHo3
1.0
-3.4013 0.8649 -5.7497
-4.0196 -7.1951 3.1501
1.5309 7.0765 5.4669
La Sm Ho
2 2 6
Cartesian
-1.8408 1.4646 -1.4380
-4.0492 -0.7183 4.3053
0.6323 4.7176 4.4510
-6.5223 -3.9713 -1.5837
-4.1744 -1.4800 -1.6277
-4.5283 0.6917 1.0388
-3.4484 -2.6321 1.5265
-2.4417 3.3784 1.3408
-1.7157 2.2263 4.4949
-1.3617 0.0546 1.8285
```

## Properties
* energy relative to the elements: 1.84 kcal/mol of atoms
* total moment: 0.00 μB/cell
* V: 333.0 Å³ per cell
* energy relative to the lowest polymorph listed for this composition: 0.0 meV/atom
* symmetry: No. 2
* electronic total energy: -46.0 eV for the cell shown
* D(E_F): 16.1 states/eV per cell
* mass density: 7.82 g cm⁻³



A relaxed structure of La5Sm3Ho3, computed with PBE.

```
La5Sm3Ho3
1.0
3.4856 0.0000 0.0000
0.0000 9.9251 -5.7303
0.0000 0.0000 11.4606
La Sm Ho
5 3 3
Cartesian
1.7428 6.6168 0.0000
1.7428 3.3084 5.7303
1.7428 3.3464 -1.9320
1.7428 6.5788 3.7983
1.7428 0.0000 3.8641
0.0000 5.9403 -3.4297
0.0000 0.0000 6.8593
0.0000 3.9848 2.3006
1.7428 8.3462 -4.8187
1.7428 1.5790 0.9116
1.7428 0.0000 9.6373
```

## Properties
* energy relative to the elements: 6.66 kcal/mol of atoms
* total moment: 0.00 μB/cell
* V: 396.5 Å³ per cell
* symmetry: No. 189
* electronic total energy: -49.3 eV for the cell shown
* D(E_F): 16.7 states/eV per cell
* mass density: 6.87 g cm⁻³



A relaxed structure of LaSm4Ho, computed with PBE.

```
LaSm4Ho
1.0
-3.2964 0.2114 -1.5448
0.8795 -4.3766 -2.4757
-5.1621 -1.2275 10.8473
La Sm Ho
1 4 1
Cartesian
0.0000 0.0000 0.0000
-5.6347 -2.3446 7.3988
-1.9444 -3.0480 -0.5720
-1.4412 -1.8846 2.8174
-2.8415 -3.7194 5.5543
-4.2293 -0.5080 4.6512
```

## Properties
* energy relative to the elements: 0.50 kcal/mol of atoms
* total moment: 0.00 μB/cell
* V: 203.8 Å³ per cell
* energy relative to the lowest polymorph listed for this composition: 1.7 meV/atom
* symmetry: No. 47
* electronic total energy: -28.3 eV for the cell shown
* D(E_F): 9.1 states/eV per cell
* mass density: 7.38 g cm⁻³